# 1
First-principles (GGA-PBE) data for a relaxed TmSc3Te2 crystal, as listed in Alexandria via LeMat-Bulk.

Computed properties:
* ρ: 6.05 Mg/m³
* final energy: -5.715 eV per atom
* SG: No. 12
* ΔE_f (raw): -0.757 eV/atom

Cell: 7.797 7.797 11.244 Å, 115.14 115.14 30.01°
Fractional positions:
Tm (0.132, 0.132, 0.065)
Tm (0.868, 0.868, 0.935)
Sc (0.045, 0.045, 0.375)
Sc (0.285, 0.285, 0.613)
Sc (0.379, 0.379, 0.391)
Sc (0.621, 0.621, 0.609)
Sc (0.715, 0.715, 0.387)
Sc (0.955, 0.955, 0.625)
Te (0.201, 0.201, 0.826)
Te (0.486, 0.486, 0.842)
Te (0.514, 0.514, 0.158)
Te (0.799, 0.799, 0.174)



# 2
First-principles (GGA-PBE) data for a relaxed YTm3Sc2Te6 crystal, as listed in Alexandria via LeMat-Bulk.

Computed properties:
* ρ: 7.29 Mg/m³
* final energy: -5.450 eV per atom
* SG: No. 12
* ΔE_f (raw): -1.167 eV/atom

Cell: 9.551 9.551 8.564 Å, 102.95 102.95 25.77°
Fractional positions:
Y (0.000, 0.000, 0.000)
Tm (0.000, 0.000, 0.500)
Tm (0.339, 0.339, 0.170)
Tm (0.661, 0.661, 0.830)
Sc (0.335, 0.335, 0.669)
Sc (0.665, 0.665, 0.331)
Te (0.170, 0.170, 0.578)
Te (0.171, 0.171, 0.090)
Te (0.496, 0.496, 0.744)
Te (0.504, 0.504, 0.256)
Te (0.829, 0.829, 0.910)
Te (0.830, 0.830, 0.422)



# 3
First-principles (GGA-PBE) data for a relaxed Y2TmScTe6 crystal, as listed in Alexandria via LeMat-Bulk.

Computed properties:
* ρ: 5.60 Mg/m³
* final energy: -5.575 eV per atom
* SG: No. 146
* ΔE_f (raw): -1.317 eV/atom

Cell: 8.176 8.176 8.176 Å, 55.21 55.21 55.21°
Fractional positions:
Y (0.000, 0.000, 0.000)
Y (0.499, 0.499, 0.499)
Tm (0.184, 0.184, 0.184)
Sc (0.683, 0.683, 0.683)
Te (0.074, 0.423, 0.784)
Te (0.291, 0.913, 0.584)
Te (0.423, 0.784, 0.074)
Te (0.584, 0.291, 0.913)
Te (0.784, 0.074, 0.423)
Te (0.913, 0.584, 0.291)



# 4
First-principles (GGA-PBE) data for a relaxed Y2TmSc3Te6 crystal, as listed in Alexandria via LeMat-Bulk.

Computed properties:
* ρ: 6.32 Mg/m³
* final energy: -5.785 eV per atom
* SG: No. 12
* ΔE_f (raw): -1.181 eV/atom

Cell: 9.520 9.520 8.536 Å, 102.90 102.90 25.78°
Fractional positions:
Y (0.169, 0.169, 0.336)
Y (0.831, 0.831, 0.664)
Tm (0.500, 0.500, 0.000)
Sc (0.170, 0.170, 0.832)
Sc (0.500, 0.500, 0.500)
Sc (0.830, 0.830, 0.168)
Te (0.004, 0.004, 0.746)
Te (0.333, 0.333, 0.927)
Te (0.338, 0.338, 0.409)
Te (0.662, 0.662, 0.591)
Te (0.667, 0.667, 0.073)
Te (0.996, 0.996, 0.254)



# 5
First-principles (GGA-PBE) data for a relaxed Y3Tm3ScTe8 crystal, as listed in Alexandria via LeMat-Bulk.

Computed properties:
* ρ: 6.75 Mg/m³
* final energy: -5.592 eV per atom
* SG: No. 166
* ΔE_f (raw): -1.308 eV/atom

Cell: 8.624 8.624 8.624 Å, 59.91 59.91 59.91°
Fractional positions:
Y (0.000, 0.500, 0.500)
Y (0.500, 0.000, 0.500)
Y (0.500, 0.500, 0.000)
Tm (0.000, 0.000, 0.500)
Tm (0.000, 0.500, 0.000)
Tm (0.500, 0.000, 0.000)
Sc (0.500, 0.500, 0.500)
Te (0.248, 0.248, 0.248)
Te (0.248, 0.749, 0.749)
Te (0.251, 0.251, 0.752)
Te (0.251, 0.752, 0.251)
Te (0.749, 0.248, 0.749)
Te (0.749, 0.749, 0.248)
Te (0.752, 0.251, 0.251)
Te (0.752, 0.752, 0.752)



# 6
First-principles (GGA-PBE) data for a relaxed Y2Tm3ScTe6 crystal, as listed in Alexandria via LeMat-Bulk.

Computed properties:
* ρ: 7.34 Mg/m³
* final energy: -5.496 eV per atom
* SG: No. 12
* ΔE_f (raw): -1.202 eV/atom

Cell: 9.625 9.625 8.640 Å, 102.90 102.90 25.72°
Fractional positions:
Y (0.168, 0.168, 0.333)
Y (0.832, 0.832, 0.667)
Tm (0.173, 0.173, 0.837)
Tm (0.500, 0.500, 0.500)
Tm (0.827, 0.827, 0.163)
Sc (0.500, 0.500, 0.000)
Te (0.003, 0.003, 0.757)
Te (0.336, 0.336, 0.414)
Te (0.339, 0.339, 0.924)
Te (0.661, 0.661, 0.076)
Te (0.664, 0.664, 0.586)
Te (0.997, 0.997, 0.243)



# 7
First-principles (GGA-PBE) data for a relaxed YTm2ScTe4 crystal, as listed in Alexandria via LeMat-Bulk.

Computed properties:
* ρ: 7.31 Mg/m³
* final energy: -5.469 eV per atom
* SG: No. 10
* ΔE_f (raw): -1.181 eV/atom

Cell: 7.442 4.248 7.465 Å, 90.00 108.95 90.00°
Fractional positions:
Y (0.000, 0.000, 0.000)
Tm (0.500, 0.000, 0.500)
Tm (0.500, 0.500, 0.000)
Sc (0.000, 0.500, 0.500)
Te (0.246, 0.000, 0.742)
Te (0.251, 0.500, 0.257)
Te (0.749, 0.500, 0.743)
Te (0.754, 0.000, 0.258)



# 8
First-principles (GGA-PBE) data for a relaxed ScUTe crystal, as listed in Alexandria via LeMat-Bulk.

Computed properties:
* ρ: 9.99 Mg/m³
* final energy: -7.496 eV per atom
* SG: No. 129
* ΔE_f (raw): -0.575 eV/atom

Cell: 3.994 3.994 8.552 Å, 90.00 90.00 90.00°
Fractional positions:
Sc (0.250, 0.250, 0.135)
Sc (0.750, 0.750, 0.865)
U (0.250, 0.750, 0.500)
U (0.750, 0.250, 0.500)
Te (0.250, 0.250, 0.792)
Te (0.750, 0.750, 0.208)



# 9
First-principles (GGA-PBE) data for a relaxed ScUTe6 crystal, as listed in Alexandria via LeMat-Bulk.

Computed properties:
* ρ: 7.14 Mg/m³
* final energy: -5.169 eV per atom
* SG: No. 38
* ΔE_f (raw): -0.611 eV/atom

Cell: 4.344 13.112 13.112 Å, 19.06 90.00 90.00°
Fractional positions:
Sc (0.000, 0.000, 0.000)
U (0.500, 0.341, 0.341)
Te (0.000, 0.249, 0.249)
Te (0.000, 0.588, 0.588)
Te (0.000, 0.879, 0.879)
Te (0.500, 0.088, 0.088)
Te (0.500, 0.464, 0.464)
Te (0.500, 0.749, 0.749)



# 10
First-principles (GGA-PBE) data for a relaxed ScVTe4 crystal, as listed in Alexandria via LeMat-Bulk.

Computed properties:
* ρ: 5.69 Mg/m³
* final energy: -5.242 eV per atom
* SG: No. 74
* ΔE_f (raw): -0.572 eV/atom

Cell: 8.028 8.028 8.028 Å, 127.93 113.77 88.98°
Fractional positions:
Sc (0.000, 0.000, 0.000)
Sc (0.500, 0.000, 0.500)
V (0.500, 0.000, 0.000)
V (0.500, 0.500, 0.500)
Te (0.255, 0.272, 0.517)
Te (0.255, 0.738, 0.983)
Te (0.259, 0.745, 0.514)
Te (0.269, 0.255, 0.014)
Te (0.731, 0.745, 0.986)
Te (0.741, 0.255, 0.486)
Te (0.745, 0.262, 0.017)
Te (0.745, 0.728, 0.483)



# 11
First-principles (GGA-PBE) data for a relaxed ScV2Te crystal, as listed in Alexandria via LeMat-Bulk.

Computed properties:
* ρ: 5.67 Mg/m³
* final energy: -6.403 eV per atom
* SG: No. 122
* ΔE_f (raw): 0.524 eV/atom

Cell: 6.078 6.078 6.078 Å, 101.57 101.57 126.79°
Fractional positions:
Sc (0.000, 0.000, 0.000)
Sc (0.750, 0.250, 0.500)
V (0.161, 0.625, 0.036)
V (0.375, 0.411, 0.536)
V (0.589, 0.125, 0.964)
V (0.875, 0.839, 0.464)
Te (0.250, 0.750, 0.500)
Te (0.500, 0.500, 0.000)



# 12
First-principles (GGA-PBE) data for a relaxed ScVTe2 crystal, as listed in Alexandria via LeMat-Bulk.

Computed properties:
* ρ: 5.76 Mg/m³
* final energy: -5.589 eV per atom
* SG: No. 166
* ΔE to the lowest computed polymorph: 1.63 eV per formula unit
* ΔE_f (raw): -0.156 eV/atom

Cell: 9.532 9.532 9.532 Å, 21.42 21.42 21.42°
Fractional positions:
Sc (0.000, 0.000, 0.000)
V (0.500, 0.500, 0.500)
Te (0.104, 0.104, 0.104)
Te (0.896, 0.896, 0.896)



# 13
First-principles (GGA-PBE) data for a relaxed ScVTe3 crystal, as listed in Alexandria via LeMat-Bulk.

Computed properties:
* ρ: 5.47 Mg/m³
* final energy: -4.945 eV per atom
* SG: No. 221
* ΔE to the lowest computed polymorph: 0.00 eV per formula unit
* ΔE_f (raw): 0.031 eV/atom

Cell: 5.259 5.259 5.259 Å, 90.00 90.00 90.00°
Fractional positions:
Sc (0.000, 0.000, 0.000)
V (0.500, 0.500, 0.500)
Te (0.000, 0.500, 0.500)
Te (0.500, 0.000, 0.500)
Te (0.500, 0.500, 0.000)



# 14
First-principles (GGA-PBE) data for a relaxed ScVTe2 crystal, as listed in Alexandria via LeMat-Bulk.

Computed properties:
* ρ: 7.04 Mg/m³
* final energy: -5.800 eV per atom
* SG: No. 225
* ΔE to the lowest computed polymorph: 0.79 eV per formula unit
* ΔE_f (raw): -0.367 eV/atom

Cell: 4.893 4.893 4.893 Å, 60.00 60.00 60.00°
Fractional positions:
Sc (0.000, 0.000, 0.000)
V (0.500, 0.500, 0.500)
Te (0.250, 0.250, 0.250)
Te (0.750, 0.750, 0.750)



# 15
First-principles (GGA-PBE) data for a relaxed ScVTe2 crystal, as listed in Alexandria via LeMat-Bulk.

Computed properties:
* ρ: 6.04 Mg/m³
* final energy: -5.997 eV per atom
* SG: No. 166
* ΔE to the lowest computed polymorph: 0.00 eV per formula unit
* ΔE_f (raw): -0.564 eV/atom

Cell: 6.847 6.847 6.847 Å, 35.47 35.47 35.47°
Fractional positions:
Sc (0.000, 0.000, 0.000)
V (0.500, 0.500, 0.500)
Te (0.244, 0.244, 0.244)
Te (0.756, 0.756, 0.756)



# 16
First-principles (GGA-PBE) data for a relaxed ScVTe2 crystal, as listed in Alexandria via LeMat-Bulk.

Computed properties:
* ρ: 4.38 Mg/m³
* final energy: -5.776 eV per atom
* SG: No. 122
* ΔE to the lowest computed polymorph: 0.89 eV per formula unit
* ΔE_f (raw): -0.342 eV/atom

Cell: 7.922 7.922 7.922 Å, 132.40 132.40 69.60°
Fractional positions:
Sc (0.000, 0.000, 0.000)
Sc (0.750, 0.250, 0.500)
V (0.250, 0.750, 0.500)
V (0.500, 0.500, 0.000)
Te (0.139, 0.625, 0.014)
Te (0.375, 0.389, 0.514)
Te (0.611, 0.125, 0.986)
Te (0.875, 0.861, 0.486)



# 17
First-principles (GGA-PBE) data for a relaxed ScTe2W crystal, as listed in Alexandria via LeMat-Bulk.

Computed properties:
* ρ: 6.79 Mg/m³
* final energy: -6.036 eV per atom
* SG: No. 122
* ΔE to the lowest computed polymorph: 2.41 eV per formula unit
* ΔE_f (raw): 0.356 eV/atom

Cell: 8.602 8.602 8.602 Å, 142.28 142.28 54.41°
Fractional positions:
Sc (0.000, 0.000, 0.000)
Sc (0.750, 0.250, 0.500)
Te (0.158, 0.625, 0.033)
Te (0.375, 0.408, 0.533)
Te (0.592, 0.125, 0.967)
Te (0.875, 0.842, 0.467)
W (0.250, 0.750, 0.500)
W (0.500, 0.500, 0.000)



# 18
First-principles (GGA-PBE) data for a relaxed ScTeW2 crystal, as listed in Alexandria via LeMat-Bulk.

Computed properties:
* ρ: 10.99 Mg/m³
* final energy: -8.532 eV per atom
* SG: No. 160
* ΔE_f (raw): 0.313 eV/atom

Cell: 8.869 8.869 8.869 Å, 21.43 21.43 21.43°
Fractional positions:
Sc (0.000, 0.000, 0.000)
Te (0.239, 0.239, 0.239)
W (0.486, 0.486, 0.486)
W (0.753, 0.753, 0.753)



# 19
First-principles (GGA-PBE) data for a relaxed Sc2TeW crystal, as listed in Alexandria via LeMat-Bulk.

Computed properties:
* ρ: 7.02 Mg/m³
* final energy: -6.886 eV per atom
* SG: No. 166
* ΔE_f (raw): 0.304 eV/atom

Cell: 10.168 10.168 10.168 Å, 18.75 18.75 18.75°
Fractional positions:
Sc (0.099, 0.099, 0.099)
Sc (0.901, 0.901, 0.901)
Te (0.000, 0.000, 0.000)
W (0.500, 0.500, 0.500)



# 20
First-principles (GGA-PBE) data for a relaxed Sc2TeW crystal, as listed in Alexandria via LeMat-Bulk.

Computed properties:
* ρ: 8.34 Mg/m³
* final energy: -7.186 eV per atom
* SG: No. 12
* ΔE_f (raw): 0.004 eV/atom

Cell: 5.374 5.374 4.697 Å, 115.59 115.59 41.60°
Fractional positions:
Sc (0.238, 0.238, 0.238)
Sc (0.762, 0.762, 0.762)
Te (0.000, 0.000, 0.500)
W (0.500, 0.500, 0.000)